Density functional theory data (PBE) for an optimized crystal structure of CeGa8Ir2.

Output
As for the magnetization: 1.1 μB per formula unit. The formation energy from the elements is -3.2 kJ/mol of atoms. The space group is P4/mmm, No. 123.

```
data_CeGa8Ir2
_chemical_formula_sum 'Ce1 Ga8 Ir2'
_space_group_name_H-M_alt 'P 1'
_space_group_IT_number 1
_cell_length_a 5.819
_cell_length_b 5.819
_cell_length_c 7.722
_cell_angle_alpha 90.00
_cell_angle_beta 90.00
_cell_angle_gamma 90.00
loop_
_space_group_symop_operation_xyz
'x,y,z'
loop_
_atom_site_label
_atom_site_type_symbol
_atom_site_fract_x
_atom_site_fract_y
_atom_site_fract_z
Ir1 Ir 0.500 0.000 0.000
Ir2 Ir 0.000 0.500 0.000
Ga1 Ga 0.247 0.753 0.801
Ga2 Ga 0.753 0.247 0.199
Ga3 Ga 0.753 0.753 0.199
Ga4 Ga 0.247 0.247 0.199
Ga5 Ga 0.247 0.753 0.199
Ga6 Ga 0.753 0.247 0.801
Ga7 Ga 0.753 0.753 0.801
Ga8 Ga 0.247 0.247 0.801
Ce1 Ce 0.500 0.500 0.500
```